(1)
Density functional theory data (PBE) for a relaxed CuCl crystal.

Cell and atoms, written as CIF:
```
data_CuCl
_cell_length_a 3.9794
_cell_length_b 3.9794
_cell_length_c 12.7178
_cell_angle_alpha 90.00
_cell_angle_beta 90.00
_cell_angle_gamma 90.00
_space_group_name_H-M_alt 'P 1'
_space_group_IT_number 1
_space_group_name_Hall 'P 1'
loop_
_atom_site_label
_atom_site_type_symbol
_atom_site_fract_x
_atom_site_fract_y
_atom_site_fract_z
_atom_site_occupancy
Cl1 Cl 0.5000 0.0000 0.8782 1
Cl2 Cl 0.0000 0.5000 0.1218 1
Cl3 Cl 0.5000 0.0000 0.3782 1
Cl4 Cl 0.0000 0.5000 0.6218 1
Cu1 Cu 0.7500 0.7500 0.2500 1
Cu2 Cu 0.2500 0.2500 0.2500 1
Cu3 Cu 0.2500 0.7500 0.7500 1
Cu4 Cu 0.7500 0.2500 0.7500 1
```

Calculated values
ΔE_f (raw): -0.425 eV/atom
Symmetry: P4_2/ncm (138)

***

(2)
Density functional theory data (PBE) for a relaxed Cu3Cl2 crystal.

Cell and atoms, written as CIF:
```
data_Cu3Cl2
_cell_length_a 7.6696
_cell_length_b 6.3931
_cell_length_c 5.8571
_cell_angle_alpha 77.39
_cell_angle_beta 54.43
_cell_angle_gamma 48.18
_space_group_name_H-M_alt 'P 1'
_space_group_IT_number 1
_space_group_name_Hall 'P 1'
loop_
_atom_site_label
_atom_site_type_symbol
_atom_site_fract_x
_atom_site_fract_y
_atom_site_fract_z
_atom_site_occupancy
Cu1 Cu 0.0291 0.9709 0.9709 1
Cu2 Cu 0.8214 0.3698 0.3174 1
Cu3 Cu 0.8802 0.4286 0.7586 1
Cu4 Cu 0.2791 0.2209 0.2209 1
Cu5 Cu 0.4914 0.3174 0.3698 1
Cu6 Cu 0.9326 0.7586 0.4286 1
Cl1 Cl 0.5007 0.5125 0.8293 1
Cl2 Cl 0.7375 0.7493 0.0926 1
Cl3 Cl 0.1574 0.8293 0.5125 1
Cl4 Cl 0.4207 0.0926 0.7493 1
```

Calculated values
ΔE_f (raw): -0.011 eV/atom
Symmetry: Fdd2 (43)
Polymorph energy (0 for the lowest one): 0.0000 eV per atom

***

(3)
Density functional theory data (PBE) for a relaxed Cu3Cl crystal.

Cell and atoms, written as CIF:
```
data_Cu3Cl
_cell_length_a 4.9346
_cell_length_b 4.9346
_cell_length_c 4.9346
_cell_angle_alpha 116.46
_cell_angle_beta 116.46
_cell_angle_gamma 116.46
_space_group_name_H-M_alt 'P 1'
_space_group_IT_number 1
_space_group_name_Hall 'P 1'
loop_
_atom_site_label
_atom_site_type_symbol
_atom_site_fract_x
_atom_site_fract_y
_atom_site_fract_z
_atom_site_occupancy
Cu1 Cu 0.5000 0.0000 0.5000 1
Cu2 Cu 0.0000 0.5000 0.5000 1
Cu3 Cu 0.5000 0.5000 0.0000 1
Cl1 Cl 0.0000 0.0000 0.0000 1
```

Calculated values
ΔE_f (raw): 0.400 eV/atom
Symmetry: R-3m (166)
Polymorph energy (0 for the lowest one): 0.3833 eV per atom

***

(4)
Density functional theory data (PBE) for a relaxed Cu3Cl crystal.

Cell and atoms, written as CIF:
```
data_Cu3Cl
_cell_length_a 3.1034
_cell_length_b 3.1944
_cell_length_c 6.2010
_cell_angle_alpha 89.97
_cell_angle_beta 90.00
_cell_angle_gamma 90.00
_space_group_name_H-M_alt 'P 1'
_space_group_IT_number 1
_space_group_name_Hall 'P 1'
loop_
_atom_site_label
_atom_site_type_symbol
_atom_site_fract_x
_atom_site_fract_y
_atom_site_fract_z
_atom_site_occupancy
Cu1 Cu 0.5000 0.9997 0.6962 1
Cu2 Cu 0.0000 0.5000 0.5000 1
Cu3 Cu 0.5000 0.0003 0.3038 1
Cl1 Cl 0.0000 0.0000 0.0000 1
```

Calculated values
ΔE_f (raw): 0.016 eV/atom
Symmetry: Pmmm (47)
Polymorph energy (0 for the lowest one): 0.0000 eV per atom

***

(5)
Density functional theory data (PBE) for a relaxed CuCl crystal.

Cell and atoms, written as CIF:
```
data_CuCl
_cell_length_a 7.3102
_cell_length_b 7.3102
_cell_length_c 7.3102
_cell_angle_alpha 152.74
_cell_angle_beta 153.51
_cell_angle_gamma 38.38
_space_group_name_H-M_alt 'P 1'
_space_group_IT_number 1
_space_group_name_Hall 'P 1'
loop_
_atom_site_label
_atom_site_type_symbol
_atom_site_fract_x
_atom_site_fract_y
_atom_site_fract_z
_atom_site_occupancy
Cu1 Cu 0.1762 0.4262 0.2500 1
Cu2 Cu 0.8238 0.5738 0.7500 1
Cl1 Cl 0.6335 0.8835 0.2500 1
Cl2 Cl 0.3665 0.1165 0.7500 1
```

Calculated values
ΔE_f (raw): -0.211 eV/atom
Symmetry: Imma (74)

***

(6)
Density functional theory data (PBE) for a relaxed CuCl crystal.

Cell and atoms, written as CIF:
```
data_CuCl
_cell_length_a 3.8106
_cell_length_b 3.8106
_cell_length_c 6.3024
_cell_angle_alpha 90.00
_cell_angle_beta 90.00
_cell_angle_gamma 120.00
_space_group_name_H-M_alt 'P 1'
_space_group_IT_number 1
_space_group_name_Hall 'P 1'
loop_
_atom_site_label
_atom_site_type_symbol
_atom_site_fract_x
_atom_site_fract_y
_atom_site_fract_z
_atom_site_occupancy
Cl1 Cl 0.3333 0.6667 0.4974 1
Cl2 Cl 0.6667 0.3333 0.9974 1
Cu1 Cu 0.3333 0.6667 0.1276 1
Cu2 Cu 0.6667 0.3333 0.6276 1
```

Calculated values
ΔE_f (raw): -0.380 eV/atom
Symmetry: P6_3mc (186)

***

(7)
Density functional theory data (PBE) for a relaxed Cu3Cl crystal.

Cell and atoms, written as CIF:
```
data_Cu3Cl
_cell_length_a 5.6820
_cell_length_b 5.6820
_cell_length_c 8.4202
_cell_angle_alpha 90.00
_cell_angle_beta 90.00
_cell_angle_gamma 120.00
_space_group_name_H-M_alt 'P 1'
_space_group_IT_number 1
_space_group_name_Hall 'P 1'
loop_
_atom_site_label
_atom_site_type_symbol
_atom_site_fract_x
_atom_site_fract_y
_atom_site_fract_z
_atom_site_occupancy
Cl1 Cl 0.0000 0.0000 0.5000 1
Cl2 Cl 0.3333 0.6667 0.2500 1
Cl3 Cl 0.0000 0.0000 0.0000 1
Cl4 Cl 0.6667 0.3333 0.7500 1
Cu1 Cu 0.5000 0.5000 0.0000 1
Cu2 Cu 0.8082 0.6165 0.2500 1
Cu3 Cu 0.5000 0.0000 0.5000 1
Cu4 Cu 0.0000 0.5000 0.0000 1
Cu5 Cu 0.5000 0.5000 0.5000 1
Cu6 Cu 0.6165 0.8082 0.7500 1
Cu7 Cu 0.1918 0.3835 0.7500 1
Cu8 Cu 0.3835 0.1918 0.2500 1
Cu9 Cu 0.1918 0.8082 0.7500 1
Cu10 Cu 0.5000 0.0000 0.0000 1
Cu11 Cu 0.8082 0.1918 0.2500 1
Cu12 Cu 0.0000 0.5000 0.5000 1
```

Calculated values
ΔE_f (raw): 0.317 eV/atom
Symmetry: P6_3/mmc (194)
Polymorph energy (0 for the lowest one): 0.3001 eV per atom

***

(8)
Density functional theory data (PBE) for a relaxed Cu2Cl crystal.

Cell and atoms, written as CIF:
```
data_Cu2Cl
_cell_length_a 9.6672
_cell_length_b 9.6672
_cell_length_c 3.2142
_cell_angle_alpha 90.00
_cell_angle_beta 90.00
_cell_angle_gamma 158.98
_space_group_name_H-M_alt 'P 1'
_space_group_IT_number 1
_space_group_name_Hall 'P 1'
loop_
_atom_site_label
_atom_site_type_symbol
_atom_site_fract_x
_atom_site_fract_y
_atom_site_fract_z
_atom_site_occupancy
Cu1 Cu 0.2421 0.7579 0.2500 1
Cu2 Cu 0.3534 0.6466 0.7500 1
Cu3 Cu 0.7579 0.2421 0.7500 1
Cu4 Cu 0.6466 0.3534 0.2500 1
Cl1 Cl 0.9035 0.0965 0.2500 1
Cl2 Cl 0.0965 0.9035 0.7500 1
```

Calculated values
ΔE_f (raw): 0.009 eV/atom
Symmetry: Cmcm (63)
Polymorph energy (0 for the lowest one): 0.2301 eV per atom

***

(9)
Density functional theory data (PBE) for a relaxed CuCl crystal.

Cell and atoms, written as CIF:
```
data_CuCl
_cell_length_a 6.5178
_cell_length_b 6.5178
_cell_length_c 3.8585
_cell_angle_alpha 90.00
_cell_angle_beta 90.00
_cell_angle_gamma 90.00
_space_group_name_H-M_alt 'P 1'
_space_group_IT_number 1
_space_group_name_Hall 'P 1'
loop_
_atom_site_label
_atom_site_type_symbol
_atom_site_fract_x
_atom_site_fract_y
_atom_site_fract_z
_atom_site_occupancy
Cl1 Cl 0.7167 0.2833 0.0000 1
Cl2 Cl 0.2167 0.2167 0.5000 1
Cl3 Cl 0.7833 0.7833 0.5000 1
Cl4 Cl 0.2833 0.7167 0.0000 1
Cu1 Cu 0.8605 0.1395 0.5000 1
Cu2 Cu 0.1395 0.8605 0.5000 1
Cu3 Cu 0.6395 0.6395 0.0000 1
Cu4 Cu 0.3605 0.3605 0.0000 1
```

Calculated values
ΔE_f (raw): -0.374 eV/atom
Symmetry: P4_2/mnm (136)

***

(10)
Density functional theory data (PBE) for a relaxed Cu2Cl crystal.

Cell and atoms, written as CIF:
```
data_Cu2Cl
_cell_length_a 4.4857
_cell_length_b 4.4857
_cell_length_c 5.2605
_cell_angle_alpha 90.00
_cell_angle_beta 90.00
_cell_angle_gamma 120.00
_space_group_name_H-M_alt 'P 1'
_space_group_IT_number 1
_space_group_name_Hall 'P 1'
loop_
_atom_site_label
_atom_site_type_symbol
_atom_site_fract_x
_atom_site_fract_y
_atom_site_fract_z
_atom_site_occupancy
Cu1 Cu 0.0000 0.0000 0.5000 1
Cu2 Cu 0.6667 0.3333 0.7500 1
Cu3 Cu 0.3333 0.6667 0.2500 1
Cu4 Cu 0.0000 0.0000 0.0000 1
Cl1 Cl 0.6667 0.3333 0.2500 1
Cl2 Cl 0.3333 0.6667 0.7500 1
```

Calculated values
ΔE_f (raw): 0.411 eV/atom
Symmetry: P6_3/mmc (194)
Polymorph energy (0 for the lowest one): 0.6324 eV per atom

***

(11)
Density functional theory data (PBE) for a relaxed CuCl crystal.

Cell and atoms, written as CIF:
```
data_CuCl
_cell_length_a 10.2180
_cell_length_b 3.8316
_cell_length_c 6.1355
_cell_angle_alpha 90.00
_cell_angle_beta 90.00
_cell_angle_gamma 90.00
_space_group_name_H-M_alt 'P 1'
_space_group_IT_number 1
_space_group_name_Hall 'P 1'
loop_
_atom_site_label
_atom_site_type_symbol
_atom_site_fract_x
_atom_site_fract_y
_atom_site_fract_z
_atom_site_occupancy
Cl1 Cl 0.1706 0.3896 0.7910 1
Cl2 Cl 0.6706 0.6104 0.2910 1
Cl3 Cl 0.8294 0.3896 0.7910 1
Cl4 Cl 0.0000 0.8932 0.3031 1
Cl5 Cl 0.3294 0.6104 0.2910 1
Cl6 Cl 0.5000 0.1068 0.8031 1
Cu1 Cu 0.0000 0.3907 0.5271 1
Cu2 Cu 0.5000 0.6093 0.0271 1
Cu3 Cu 0.7080 0.8727 0.7950 1
Cu4 Cu 0.7920 0.1273 0.2950 1
Cu5 Cu 0.2080 0.1273 0.2950 1
Cu6 Cu 0.2920 0.8727 0.7950 1
```

Calculated values
ΔE_f (raw): -0.355 eV/atom
Symmetry: Pmn2_1 (31)

***

(12)
Density functional theory data (PBE) for a relaxed Cu2Cl crystal.

Cell and atoms, written as CIF:
```
data_Cu2Cl
_cell_length_a 3.1429
_cell_length_b 3.1429
_cell_length_c 5.3507
_cell_angle_alpha 90.00
_cell_angle_beta 90.00
_cell_angle_gamma 120.00
_space_group_name_H-M_alt 'P 1'
_space_group_IT_number 1
_space_group_name_Hall 'P 1'
loop_
_atom_site_label
_atom_site_type_symbol
_atom_site_fract_x
_atom_site_fract_y
_atom_site_fract_z
_atom_site_occupancy
Cl1 Cl 0.0000 0.0000 0.0000 1
Cu1 Cu 0.6667 0.3333 0.3395 1
Cu2 Cu 0.3333 0.6667 0.6605 1
```

Calculated values
ΔE_f (raw): 0.079 eV/atom
Symmetry: P-3m1 (164)
Polymorph energy (0 for the lowest one): 0.3008 eV per atom